## La4PrEr7 (PBE)

Data for a geometry-optimized La4PrEr7 structure.

As for the total DFT energy (no corrections): -0.164 Ha/atom. The calculation puts the formation energy at 5.62 kcal/mol of atoms.

abc: 12.192 5.950 12.931
angles: 90.00 117.75 90.00
Space group C2/m (No. 12)
Inequivalent atoms, fractional coordinates:
La: 0.134 0.000 0.277 [4 per cell]
La: 0.220 0.500 0.163 [4 per cell]
Pr: 0.000 0.500 0.500 [2 per cell]
Er: 0.000 0.000 0.500 [2 per cell]
Er: 0.070 0.500 0.813 [4 per cell]
Er: 0.133 0.000 0.995 [4 per cell]
Er: 0.211 0.500 0.424 [4 per cell]